Entry 1:
Material: NaSmHg2
Method: DFT, PBEsol
State: optimized geometry

extended XYZ file:
```
4
Lattice="-0.9070 5.0511 0.0217 -4.0944 1.8823 -2.4553 -3.9531 1.8857 2.6746" Properties=species:S:1:pos:R:3 pbc="T T T"
Hg -2.2386 2.2048 0.0602
Hg -6.7159 6.6143 0.1807
Sm 0.0000 0.0000 0.0000
Na -4.4773 4.4095 0.1205
```

## Properties
As for the formation energy: -0.416 eV/atom. As for the theoretical density: 9983 kg/m³. The crystal system is cubic.


Entry 2:
Material: In2HgP
Method: DFT, PBEsol
State: optimized geometry

extended XYZ file:
```
4
Lattice="-1.3172 2.8836 2.2469 -2.4147 -1.8190 -2.4411 0.4332 -4.4099 5.9134" Properties=species:S:1:pos:R:3 pbc="T T T"
P -0.6586 1.4418 1.1235
Hg 0.2166 -2.2050 2.9567
In -1.9334 -2.2194 5.0746
In -1.3652 -1.1260 0.6447
```

## Properties
As for the formation energy: -0.048 eV/atom. As for the theoretical density: 8309 kg/m³. The crystal system is monoclinic.


Entry 3:
Material: GaCuRe3
Method: DFT, PBEsol
State: optimized geometry

extended XYZ file:
```
5
Lattice="-3.8332 0.8372 -1.9945 0.3792 -3.7354 -2.2969 -2.1296 -2.1722 3.1810" Properties=species:S:1:pos:R:3 pbc="T T T"
Re -1.0648 -1.0861 1.5905
Re 0.1896 -1.8677 -1.1485
Re -1.9166 0.4186 -0.9972
Ga -2.7918 -2.5352 -0.5552
Cu 0.0000 0.0000 0.0000
```

## Properties
As for the formation energy: 2.067 eV/atom. As for the theoretical density: 13474 kg/m³. The crystal system is cubic.


Entry 4:
Material: KTa2Ag
Method: DFT, PBEsol
State: optimized geometry

extended XYZ file:
```
4
Lattice="-1.4620 -0.0055 -2.2606 -2.9238 -3.7623 2.3043 -1.2817 5.9544 2.2154" Properties=species:S:1:pos:R:3 pbc="T T T"
Ag -0.7310 -0.0028 -1.1303
K -1.4619 -1.8812 1.1521
Ta -2.8338 1.0932 1.1295
Ta -0.6408 2.9772 1.1077
```

## Properties
As for the formation energy: 1.015 eV/atom. As for the theoretical density: 10244 kg/m³. The crystal system is monoclinic.


Entry 5:
Material: KMgMo2
Method: DFT, PBEsol
State: optimized geometry

extended XYZ file:
```
4
Lattice="-0.5603 2.8636 0.1503 -1.7732 -1.4331 -1.8272 -6.8155 -1.7529 7.9888" Properties=species:S:1:pos:R:3 pbc="T T T"
Mo -6.6296 -0.6898 5.5649
Mo -6.6670 -1.7147 7.8147
Mg -2.5595 0.3570 0.7941
K -3.5161 -0.9043 4.1215
```

## Properties
As for the formation energy: 0.653 eV/atom. As for the theoretical density: 5081 kg/m³. The crystal system is orthorhombic.


Entry 6:
Material: BeRu2Rh
Method: DFT, PBEsol
State: optimized geometry

extended XYZ file:
```
4
Lattice="-2.2655 1.4050 0.7618 1.0778 -0.4603 4.0540 2.7083 3.0258 -2.5712" Properties=species:S:1:pos:R:3 pbc="T T T"
Ru 1.5123 3.9568 2.2450
Ru 1.4823 1.3300 1.9554
Rh 0.0545 2.6660 0.2904
Be 2.1066 3.4863 -0.1651
```

## Properties
As for the formation energy: -0.076 eV/atom. As for the theoretical density: 10896 kg/m³. The crystal system is orthorhombic.